AcTlPb | PBE-GGA | optimized geometry

Cell: 5.430 5.430 5.430 Å, 60.00 60.00 60.00°
Atoms (fractional coordinates):
Ac: 0.000 0.000 0.000
Tl: 0.250 0.250 0.250
Pb: 0.500 0.500 0.500

## Properties
The final energy is -10.777 eV for the cell shown. As for the energy relative to the elements: -57 kJ/mol of formula units.